! PBE-GGA NaPbS, optimized geometry; values from VASP
! offset from the most stable computed form	0.675	eV/f.u.
! volume	82.7	Å³ per cell
! formation energy without anion corrections	-1.02	eV/f.u.
! space group	P3m1, No. 156
&SYSTEM
  ibrav = 0, nat = 3, ntyp = 3
/
ATOMIC_SPECIES
S 32.06 S.upf
Na 22.99 Na.upf
Pb 207.20 Pb.upf
CELL_PARAMETERS angstrom
-1.625 2.772 2.426
-4.247 -2.377 -0.129
3.287 -1.073 3.428
ATOMIC_POSITIONS angstrom
S -2.615 -0.444 2.368
Na -1.589 2.710 2.372
Pb -0.007 -0.173 3.411



! PBE-GGA HfMn2As2, optimized geometry; values from VASP
! offset from the most stable computed form	0.588	eV/f.u.
! volume	76.5	Å³ per cell
! energy of formation	-162	meV/atom
! space group	I4/mmm, No. 139
&SYSTEM
  ibrav = 0, nat = 5, ntyp = 3
/
ATOMIC_SPECIES
Mn 54.94 Mn.upf
Hf 178.49 Hf.upf
As 74.92 As.upf
CELL_PARAMETERS angstrom
4.321 0.000 0.000
0.000 4.321 0.000
2.160 2.160 4.099
ATOMIC_POSITIONS angstrom
Mn 2.160 2.160 1.019
Hf 0.000 0.000 0.000
As 4.321 2.160 2.050
Mn 4.321 4.321 3.081
As 2.160 4.321 2.050



! PBE-GGA Cd2TcBr, optimized geometry; values from VASP
! offset from the most stable computed form	0.550	eV/f.u.
! volume	87.2	Å³ per cell
! formation energy without anion corrections	1.52	eV/f.u.
! space group	P4mm, No. 99
&SYSTEM
  ibrav = 0, nat = 4, ntyp = 3
/
ATOMIC_SPECIES
Cd 112.41 Cd.upf
Br 79.90 Br.upf
Tc 98.00 Tc.upf
CELL_PARAMETERS angstrom
-2.837 -1.234 0.027
0.074 -0.236 -3.084
3.627 -8.320 0.725
ATOMIC_POSITIONS angstrom
Cd -0.325 -3.159 -1.318
Br 1.035 -6.278 -1.046
Tc 1.874 -4.298 0.374
Cd 0.094 -0.215 0.019



! PBE-GGA H3WN, optimized geometry; values from VASP
! offset from the most stable computed form	0.000	eV/f.u.
! volume	39.3	Å³ per cell
! space group	Pm-3m, No. 221
&SYSTEM
  ibrav = 0, nat = 5, ntyp = 3
/
ATOMIC_SPECIES
H 1.01 H.upf
N 14.01 N.upf
W 183.84 W.upf
CELL_PARAMETERS angstrom
3.400 0.000 0.000
0.000 3.400 0.000
0.000 0.000 3.400
ATOMIC_POSITIONS angstrom
H 0.000 0.000 1.700
N 1.700 1.700 1.700
H 0.000 1.700 0.000
W 0.000 0.000 0.000
H 1.700 0.000 0.000



! PBE-GGA K6HfBr12, optimized geometry; values from VASP
! volume	760.4	Å³ per cell
! formation energy without anion corrections	-26.77	eV/f.u.
! space group	R-3, No. 148
&SYSTEM
  ibrav = 0, nat = 19, ntyp = 3
/
ATOMIC_SPECIES
Br 79.90 Br.upf
Hf 178.49 Hf.upf
K 39.10 K.upf
CELL_PARAMETERS angstrom
9.005 0.771 -1.751
-2.257 8.751 -1.751
0.546 0.771 9.157
ATOMIC_POSITIONS angstrom
Br 6.899 6.995 -2.783
Hf 0.000 0.000 0.000
Br 3.106 8.101 1.406
Br 0.370 8.898 -1.718
Br 6.924 1.395 7.375
K 5.439 2.063 1.217
K 1.214 5.816 -0.164
K 1.854 8.230 4.439
Br 6.935 4.699 2.658
Br 3.008 5.615 6.055
Br 0.358 5.594 2.998
Br 8.916 1.466 0.786
K 1.107 3.073 4.965
Br 4.188 2.192 4.250
K 6.187 7.220 0.691
Br 0.395 3.298 8.440
Br 4.285 4.678 -0.399
K 6.079 4.477 5.820
Br -1.622 8.827 4.870



! PBE-GGA SrPm6Sn4, optimized geometry; values from VASP
! volume	400.6	Å³ per cell
! energy of formation	-387	meV/atom
! space group	I-42m, No. 121
&SYSTEM
  ibrav = 0, nat = 11, ntyp = 3
/
ATOMIC_SPECIES
Sr 87.62 Sr.upf
Pm 145.00 Pm.upf
Sn 118.71 Sn.upf
CELL_PARAMETERS angstrom
-6.839 4.443 1.544
-0.556 -7.987 -2.188
5.092 -2.200 6.174
ATOMIC_POSITIONS angstrom
Sr 0.000 0.000 0.000
Pm -0.873 1.121 3.859
Sn 0.585 -5.354 -0.229
Pm -3.909 1.260 1.768
Pm -3.697 -1.772 -0.322
Pm 2.150 -7.703 1.361
Pm 0.085 -3.588 2.425
Pm 3.908 -5.902 3.963
Sn -2.123 -1.372 2.384
Sn 3.056 -2.823 3.429
Sn 0.717 -6.384 3.934



> Which value of volume does entry 6 give?

400.6 Å³ per cell



> Which value of volume does entry 5 give?

760.4 Å³ per cell



> Which formula does entry 5 have?

K6HfBr12



> Look up the volume of the fifth one.

760.4 Å³ per cell